Record 1
Here is ZrTlS2 after structural relaxation from Alexandria. Energies are from PBE-GGA.

a b c (Å): 7.4073 4.6355 11.7597
angles (deg): 90.00 90.00 90.00
Fractional coordinates of all 16 atoms:
Zr 0.0681 0.2500 0.0987
Zr 0.4319 0.7500 0.5987
Zr 0.5681 0.2500 0.4013
Zr 0.9319 0.7500 0.9013
Tl 0.1149 0.7500 0.3592
Tl 0.3851 0.2500 0.8592
Tl 0.6149 0.7500 0.1408
Tl 0.8851 0.2500 0.6408
S 0.1396 0.7500 0.7406
S 0.1826 0.7500 0.0531
S 0.3174 0.2500 0.5531
S 0.3604 0.2500 0.2406
S 0.6396 0.7500 0.7594
S 0.6826 0.7500 0.4469
S 0.8174 0.2500 0.9469
S 0.8604 0.2500 0.2594

ΔE_f (raw) = -1.0151 eV per atom
Uncorrected energy = -5.8074 eV/atom
Theoretical density = 5.9 g/cm3

***

Record 2
Here is ZrTlS2 after structural relaxation from Alexandria. Energies are from PBE-GGA.

a b c (Å): 7.0032 7.0032 7.0032
angles (deg): 132.40 132.40 69.59
Fractional coordinates of all 8 atoms:
Zr 0.3750 0.6250 0.7500
Zr 0.6250 0.3750 0.2500
Tl 0.1250 0.8750 0.2500
Tl 0.8750 0.1250 0.7500
S 0.1486 0.3986 0.7500
S 0.3986 0.1486 0.2500
S 0.6014 0.8514 0.7500
S 0.8514 0.6014 0.2500

ΔE_f (raw) = -0.7478 eV per atom
Uncorrected energy = -5.5401 eV/atom
Theoretical density = 6.5 g/cm3

***

Record 3
Here is ZrTlS2 after structural relaxation from Alexandria. Energies are from PBE-GGA.

a b c (Å): 6.7346 9.4385 7.5828
angles (deg): 90.00 90.00 90.00
Fractional coordinates of all 16 atoms:
Zr 0.1292 0.1300 0.0000
Zr 0.3708 0.6300 0.5000
Zr 0.6292 0.3700 0.0000
Zr 0.8708 0.8700 0.5000
Tl 0.0420 0.7205 0.9433
Tl 0.4580 0.2205 0.4433
Tl 0.5420 0.7795 0.9433
Tl 0.9580 0.2795 0.4433
S 0.0045 0.0182 0.7334
S 0.0085 0.6291 0.5206
S 0.4915 0.1291 0.0206
S 0.4955 0.5182 0.2334
S 0.5045 0.4818 0.7334
S 0.5085 0.8709 0.5206
S 0.9915 0.3709 0.0206
S 0.9955 0.9818 0.2334

ΔE_f (raw) = -0.8716 eV per atom
Uncorrected energy = -5.6639 eV/atom
Theoretical density = 5.0 g/cm3

***

Record 4
Here is ZrTlS2 after structural relaxation from Alexandria. Energies are from PBE-GGA.

a b c (Å): 3.6308 3.6308 8.9169
angles (deg): 90.00 90.00 120.00
Fractional coordinates of all 4 atoms:
Zr 0.0000 0.0000 0.0000
Tl 0.3333 0.6667 0.4867
S 0.3333 0.6667 0.8305
S 0.6667 0.3333 0.1717

ΔE_f (raw) = -1.1413 eV per atom
Uncorrected energy = -5.9337 eV/atom
Theoretical density = 5.9 g/cm3

***

Record 5
Here is ZrTlS2 after structural relaxation from Alexandria. Energies are from PBE-GGA.

a b c (Å): 7.3056 7.3056 5.1439
angles (deg): 110.34 110.34 100.97
Fractional coordinates of all 8 atoms:
Zr 0.1134 0.8866 0.5000
Zr 0.8866 0.1134 0.0000
Tl 0.3566 0.6183 0.8948
Tl 0.6183 0.3566 0.3948
S 0.1112 0.8919 0.0060
S 0.5000 0.9965 0.7493
S 0.8919 0.1112 0.5060
S 0.9965 0.5000 0.2493

ΔE_f (raw) = -0.9644 eV per atom
Uncorrected energy = -5.7568 eV/atom
Theoretical density = 5.3 g/cm3

***

Record 6
Here is ZrTlS2 after structural relaxation from Alexandria. Energies are from PBE-GGA.

a b c (Å): 3.6369 3.6380 8.6197
angles (deg): 77.94 77.88 60.02
Fractional coordinates of all 4 atoms:
Zr 0.0000 0.0000 0.0000
Tl 0.1638 0.1598 0.5093
S 0.3943 0.3937 0.8167
S 0.6056 0.6062 0.1835

ΔE_f (raw) = -1.1672 eV per atom
Uncorrected energy = -5.9595 eV/atom
Theoretical density = 6.2 g/cm3

***

Record 7
Here is ZrTlS2 after structural relaxation from Alexandria. Energies are from PBE-GGA.

a b c (Å): 6.7611 6.7611 17.9734
angles (deg): 95.53 95.53 90.02
Fractional coordinates of all 32 atoms:
Zr 0.1661 0.7944 0.6682
Zr 0.2020 0.3293 0.8123
Zr 0.2056 0.8339 0.8318
Zr 0.3293 0.2020 0.3123
Zr 0.6707 0.7980 0.6877
Zr 0.7944 0.1661 0.1682
Zr 0.7980 0.6707 0.1877
Zr 0.8339 0.2056 0.3318
Tl 0.1067 0.7290 0.4163
Tl 0.2697 0.3992 0.0839
Tl 0.2710 0.8933 0.0837
Tl 0.3992 0.2697 0.5839
Tl 0.6008 0.7303 0.4161
Tl 0.7290 0.1067 0.9163
Tl 0.7303 0.6008 0.9161
Tl 0.8933 0.2710 0.5837
S 0.0506 0.4248 0.2515
S 0.0515 0.9485 0.2500
S 0.1259 0.2300 0.4272
S 0.2280 0.5907 0.9268
S 0.2300 0.1259 0.9272
S 0.4093 0.7720 0.5732
S 0.4226 0.5774 0.7500
S 0.4248 0.0506 0.7515
S 0.5752 0.9494 0.2485
S 0.5774 0.4226 0.2500
S 0.5907 0.2280 0.4268
S 0.7700 0.8741 0.0728
S 0.7720 0.4093 0.0732
S 0.8741 0.7700 0.5728
S 0.9485 0.0515 0.7500
S 0.9494 0.5752 0.7485

ΔE_f (raw) = -1.0109 eV per atom
Uncorrected energy = -5.8033 eV/atom
Theoretical density = 5.9 g/cm3

***

Record 8
Here is ZrTlS4 after structural relaxation from Alexandria. Energies are from PBE-GGA.

a b c (Å): 7.8686 7.8686 6.6520
angles (deg): 112.74 112.74 96.95
Fractional coordinates of all 12 atoms:
Zr 0.9996 0.0004 0.2500
Zr 0.0004 0.9996 0.7500
Tl 0.3524 0.6476 0.7500
Tl 0.6476 0.3524 0.2500
S 0.0030 0.2880 0.6357
S 0.2127 0.2667 0.2185
S 0.2667 0.2127 0.7185
S 0.2880 0.0030 0.1357
S 0.7120 0.9970 0.8643
S 0.7333 0.7873 0.2815
S 0.7873 0.7333 0.7815
S 0.9970 0.7120 0.3643

Distance to the lowest polymorph of the same formula = 0.0 meV per atom
ΔE_f (raw) = -0.7075 eV per atom
Uncorrected energy = -5.2782 eV/atom
Theoretical density = 4.2 g/cm3

***

Record 9
Here is Zr3Tl5S12 after structural relaxation from Alexandria. Energies are from PBE-GGA.

a b c (Å): 13.5666 13.5666 13.5666
angles (deg): 109.47 109.47 109.47
Fractional coordinates of all 80 atoms:
Zr 0.1250 0.2500 0.3750
Zr 0.1250 0.3750 0.7500
Zr 0.2500 0.3750 0.1250
Zr 0.2500 0.8750 0.6250
Zr 0.3750 0.1250 0.2500
Zr 0.3750 0.7500 0.1250
Zr 0.6250 0.2500 0.8750
Zr 0.6250 0.8750 0.7500
Zr 0.7500 0.1250 0.3750
Zr 0.7500 0.6250 0.8750
Zr 0.8750 0.6250 0.2500
Zr 0.8750 0.7500 0.6250
Tl 0.0000 0.0000 0.0000
Tl 0.0000 0.0000 0.5000
Tl 0.0000 0.5000 0.0000
Tl 0.0000 0.5000 0.5000
Tl 0.1250 0.7500 0.8750
Tl 0.1250 0.8750 0.2500
Tl 0.2500 0.1250 0.8750
Tl 0.2500 0.6250 0.3750
Tl 0.3750 0.2500 0.6250
Tl 0.3750 0.6250 0.7500
Tl 0.5000 0.0000 0.0000
Tl 0.5000 0.0000 0.5000
Tl 0.5000 0.5000 0.0000
Tl 0.5000 0.5000 0.5000
Tl 0.6250 0.3750 0.2500
Tl 0.6250 0.7500 0.3750
Tl 0.7500 0.3750 0.6250
Tl 0.7500 0.8750 0.1250
Tl 0.8750 0.1250 0.7500
Tl 0.8750 0.2500 0.1250
S 0.0627 0.2336 0.1430
S 0.0627 0.3291 0.9197
S 0.0803 0.6430 0.4094
S 0.0803 0.9373 0.6709
S 0.0906 0.7336 0.6709
S 0.0906 0.8570 0.4197
S 0.1430 0.0627 0.2336
S 0.1430 0.5803 0.9094
S 0.1709 0.2336 0.5906
S 0.1709 0.4373 0.5803
S 0.2336 0.1430 0.0627
S 0.2336 0.5906 0.1709
S 0.2664 0.3291 0.9094
S 0.2664 0.4373 0.3570
S 0.3291 0.9094 0.2664
S 0.3291 0.9197 0.0627
S 0.3570 0.2664 0.4373
S 0.3570 0.5906 0.9197
S 0.4094 0.0803 0.6430
S 0.4094 0.8291 0.7664
S 0.4197 0.0906 0.8570
S 0.4197 0.8291 0.5627
S 0.4373 0.3570 0.2664
S 0.4373 0.5803 0.1709
S 0.5627 0.4197 0.8291
S 0.5627 0.6430 0.7336
S 0.5803 0.1709 0.4373
S 0.5803 0.9094 0.1430
S 0.5906 0.1709 0.2336
S 0.5906 0.9197 0.3570
S 0.6430 0.4094 0.0803
S 0.6430 0.7336 0.5627
S 0.6709 0.0803 0.9373
S 0.6709 0.0906 0.7336
S 0.7336 0.5627 0.6430
S 0.7336 0.6709 0.0906
S 0.7664 0.4094 0.8291
S 0.7664 0.8570 0.9373
S 0.8291 0.5627 0.4197
S 0.8291 0.7664 0.4094
S 0.8570 0.4197 0.0906
S 0.8570 0.9373 0.7664
S 0.9094 0.1430 0.5803
S 0.9094 0.2664 0.3291
S 0.9197 0.0627 0.3291
S 0.9197 0.3570 0.5906
S 0.9373 0.6709 0.0803
S 0.9373 0.7664 0.8570

ΔE_f (raw) = -0.4719 eV per atom
Uncorrected energy = -4.8221 eV/atom
Theoretical density = 5.8 g/cm3

***

Record 10
Here is Zr2Tl2S after structural relaxation from Alexandria. Energies are from PBE-GGA.

a b c (Å): 6.7921 6.7921 5.0047
angles (deg): 90.00 90.00 90.00
Fractional coordinates of all 10 atoms:
Zr 0.1639 0.3361 0.0000
Zr 0.3361 0.8361 0.0000
Zr 0.6639 0.1639 0.0000
Zr 0.8361 0.6639 0.0000
Tl 0.1590 0.6590 0.5000
Tl 0.3410 0.1590 0.5000
Tl 0.6590 0.8410 0.5000
Tl 0.8410 0.3410 0.5000
S 0.0000 0.0000 0.0000
S 0.5000 0.5000 0.0000

ΔE_f (raw) = -0.5241 eV per atom
Uncorrected energy = -5.7154 eV/atom
Theoretical density = 9.0 g/cm3

***

Record 11
Here is ZrTlS after structural relaxation from Alexandria. Energies are from PBE-GGA.

a b c (Å): 3.5230 3.5230 27.1256
angles (deg): 90.00 90.00 120.00
Fractional coordinates of all 12 atoms:
Zr 0.3333 0.6667 0.1197
Zr 0.3333 0.6667 0.6369
Zr 0.6667 0.3333 0.3631
Zr 0.6667 0.3333 0.8803
Tl 0.3333 0.6667 0.2756
Tl 0.3333 0.6667 0.4525
Tl 0.6667 0.3333 0.5475
Tl 0.6667 0.3333 0.7244
S 0.3333 0.6667 0.8193
S 0.3333 0.6667 0.9371
S 0.6667 0.3333 0.0629
S 0.6667 0.3333 0.1807

ΔE_f (raw) = -0.5832 eV per atom
Uncorrected energy = -5.5971 eV/atom
Theoretical density = 7.5 g/cm3

***

Record 12
Here is ZrTlS2 after structural relaxation from Alexandria. Energies are from PBE-GGA.

a b c (Å): 4.0508 4.0508 8.1911
angles (deg): 90.00 90.00 120.00
Fractional coordinates of all 4 atoms:
Zr 0.0000 0.0000 0.0000
Tl 0.6667 0.3333 0.5031
S 0.0000 0.0000 0.2907
S 0.3333 0.6667 0.8822

ΔE_f (raw) = -0.8221 eV per atom
Uncorrected energy = -5.6144 eV/atom
Theoretical density = 5.1 g/cm3

***

Record 13
Here is ZrTlS2 after structural relaxation from Alexandria. Energies are from PBE-GGA.

a b c (Å): 7.7729 7.7729 15.5174
angles (deg): 96.69 96.69 88.55
Fractional coordinates of all 32 atoms:
Zr 0.1022 0.6975 0.8318
Zr 0.3025 0.8978 0.6682
Zr 0.3046 0.4562 0.6738
Zr 0.4562 0.3046 0.1738
Zr 0.5438 0.6954 0.8262
Zr 0.6954 0.5438 0.3262
Zr 0.6975 0.1022 0.3318
Zr 0.8978 0.3025 0.1682
Tl 0.1399 0.7243 0.1070
Tl 0.1755 0.3430 0.4012
Tl 0.2757 0.8601 0.3930
Tl 0.3430 0.1755 0.9012
Tl 0.6570 0.8245 0.0988
Tl 0.7243 0.1399 0.6070
Tl 0.8245 0.6570 0.5988
Tl 0.8601 0.2757 0.8930
S 0.0313 0.4252 0.7347
S 0.0481 0.9519 0.7500
S 0.1511 0.3157 0.0822
S 0.2192 0.6486 0.5555
S 0.3157 0.1511 0.5822
S 0.3514 0.7808 0.9445
S 0.4046 0.5954 0.2500
S 0.4252 0.0313 0.2347
S 0.5748 0.9687 0.7653
S 0.5954 0.4046 0.7500
S 0.6486 0.2192 0.0555
S 0.6843 0.8489 0.4178
S 0.7808 0.3514 0.4445
S 0.8489 0.6843 0.9178
S 0.9519 0.0481 0.2500
S 0.9687 0.5748 0.2653

ΔE_f (raw) = -0.9613 eV per atom
Uncorrected energy = -5.7536 eV/atom
Theoretical density = 5.2 g/cm3

***

Record 14
Here is ZrTlS2 after structural relaxation from Alexandria. Energies are from PBE-GGA.

a b c (Å): 7.4596 7.4596 7.4596
angles (deg): 126.39 126.39 79.25
Fractional coordinates of all 8 atoms:
Zr 0.0000 0.0000 0.0000
Zr 0.7500 0.2500 0.5000
Tl 0.2500 0.7500 0.5000
Tl 0.5000 0.5000 0.0000
S 0.0331 0.6250 0.9081
S 0.3750 0.2831 0.4081
S 0.7169 0.1250 0.0919
S 0.8750 0.9669 0.5919

ΔE_f (raw) = -0.8266 eV per atom
Uncorrected energy = -5.6189 eV/atom
Theoretical density = 4.6 g/cm3

***

Record 15
Here is Zr2TlS2 after structural relaxation from Alexandria. Energies are from PBE-GGA.

a b c (Å): 6.3526 6.3526 6.3526
angles (deg): 137.72 137.72 61.33
Fractional coordinates of all 5 atoms:
Zr 0.1394 0.1394 0.0000
Zr 0.8606 0.8606 0.0000
Tl 0.5000 0.5000 0.0000
S 0.2500 0.7500 0.5000
S 0.7500 0.2500 0.5000

ΔE_f (raw) = -0.7419 eV per atom
Uncorrected energy = -6.2854 eV/atom
Theoretical density = 6.5 g/cm3

***

Record 16
Here is ZrTl3S3 after structural relaxation from Alexandria. Energies are from PBE-GGA.

a b c (Å): 8.7290 3.7459 11.3648
angles (deg): 90.00 91.88 90.00
Fractional coordinates of all 14 atoms:
Zr 0.1067 0.2500 0.3783
Zr 0.8933 0.7500 0.6217
Tl 0.1727 0.2500 0.8885
Tl 0.3599 0.7500 0.1269
Tl 0.3965 0.7500 0.6557
Tl 0.6035 0.2500 0.3443
Tl 0.6401 0.2500 0.8731
Tl 0.8273 0.7500 0.1115
S 0.0870 0.2500 0.1553
S 0.1034 0.2500 0.6111
S 0.3149 0.7500 0.3944
S 0.6851 0.2500 0.6056
S 0.8966 0.7500 0.3889
S 0.9130 0.7500 0.8447

ΔE_f (raw) = -0.7861 eV per atom
Uncorrected energy = -4.7903 eV/atom
Theoretical density = 7.2 g/cm3

***

Record 17
Here is Zr6TlS after structural relaxation from Alexandria. Energies are from PBE-GGA.

a b c (Å): 5.5759 5.8445 6.0390
angles (deg): 101.35 108.43 96.24
Fractional coordinates of all 8 atoms:
Zr 0.0792 0.2538 0.1701
Zr 0.2544 0.8310 0.4238
Zr 0.2851 0.3889 0.7695
Zr 0.7149 0.6111 0.2305
Zr 0.7456 0.1690 0.5762
Zr 0.9208 0.7462 0.8299
Tl 0.5000 0.0000 0.0000
S 0.5000 0.5000 0.5000

ΔE_f (raw) = -0.2983 eV per atom
Uncorrected energy = -7.5211 eV/atom
Theoretical density = 7.2 g/cm3

***

Record 18
Here is ZrTlS3 after structural relaxation from Alexandria. Energies are from PBE-GGA.

a b c (Å): 5.0543 5.0543 5.0543
angles (deg): 90.00 90.00 90.00
Fractional coordinates of all 5 atoms:
Zr 0.0000 0.0000 0.0000
Tl 0.5000 0.5000 0.5000
S 0.0000 0.0000 0.5000
S 0.0000 0.5000 0.0000
S 0.5000 0.0000 0.0000

Distance to the lowest polymorph of the same formula = 95.8 meV per atom
ΔE_f (raw) = -0.8260 eV per atom
Uncorrected energy = -5.4853 eV/atom
Theoretical density = 5.0 g/cm3